1.
This record from Alexandria describes an optimized crystal structure of TbNdSmN3. The functional is PBE.

abc: 3.546 6.136 9.233
angles: 101.55 90.00 90.00
Sites, in units of the cell vectors:
Nd: 0.250 0.344 0.303
N: 0.250 0.963 0.843
Tb: 0.750 0.848 0.362
Sm: 0.750 0.231 0.954
Nd: 0.750 0.656 0.697
N: 0.250 0.462 0.827
Sm: 0.250 0.769 0.046
N: 0.750 0.037 0.157
N: 0.250 0.753 0.493
Tb: 0.250 0.152 0.638
N: 0.750 0.538 0.173
N: 0.750 0.247 0.507

Results
* density: 8.36 g/cm³
* uncorrected formation energy: -1331 meV per atom
* electronic total energy: -7.847 eV per atom
* volume: 197 Å³ per cell



2.
This record from Alexandria describes an optimized crystal structure of Nd2SmTcN4. The functional is PBE.

abc: 3.514 6.260 12.073
angles: 90.00 90.00 106.30
Sites, in units of the cell vectors:
Sm: 0.873 0.746 0.250
Nd: 0.632 0.264 0.460
Nd: 0.368 0.736 0.540
Tc: 0.856 0.712 0.750
N: 0.731 0.463 0.863
N: 0.567 0.134 0.250
Nd: 0.632 0.264 0.040
Nd: 0.368 0.736 0.960
N: 0.000 0.000 0.000
N: 0.000 0.000 0.500
N: 0.269 0.537 0.363
N: 0.731 0.463 0.637
N: 0.269 0.537 0.137
N: 0.433 0.866 0.750
Tc: 0.144 0.288 0.250
Sm: 0.127 0.254 0.750

Results
* density: 7.72 g/cm³
* uncorrected formation energy: -902 meV per atom
* electronic total energy: -8.143 eV per atom
* volume: 255 Å³ per cell



3.
This record from Alexandria describes an optimized crystal structure of Nd4Sm2Te3N2. The functional is PBE.

abc: 4.729 4.729 13.637
angles: 99.99 99.99 90.00
Sites, in units of the cell vectors:
Sm: 0.306 0.306 0.611
Te: 0.821 0.821 0.641
Nd: 0.583 0.083 0.166
Te: 0.000 0.000 0.000
Nd: 0.917 0.417 0.834
N: 0.391 0.391 0.781
Te: 0.179 0.179 0.359
Nd: 0.083 0.583 0.166
Sm: 0.694 0.694 0.389
Nd: 0.417 0.917 0.834
N: 0.609 0.609 0.219

Results
* density: 7.24 g/cm³
* uncorrected formation energy: -1156 meV per atom
* electronic total energy: -6.118 eV per atom
* volume: 296 Å³ per cell



4.
This record from Alexandria describes an optimized crystal structure of NdSmTeN. The functional is PBE.

abc: 3.837 3.871 7.292
angles: 105.39 105.25 90.00
Site moments in Bohr magnetons follow the coordinates.
Sites, in units of the cell vectors:
Nd: 0.671 0.129 0.342  0.05
Sm: 0.971 0.429 0.942  0.07
N: 0.570 0.528 0.139  0.00
Te: 0.323 0.782 0.647  0.00

Results
* density: 7.21 g/cm³
* uncorrected formation energy: -1309 meV per atom
* electronic total energy: -6.548 eV per atom
* volume: 100 Å³ per cell